This record from the Alexandria database describes a geometry-optimized TiNbTcPt structure. The functional is PBE-GGA.

Unit cell a=4.4987 b=4.4987 c=4.4987 alpha=60.00 beta=60.00 gamma=60.00
Sites, in units of the cell vectors:
Nb (0.7500, 0.7500, 0.7500)
Tc (0.0000, 0.0000, 0.0000)
Pt (0.5000, 0.5000, 0.5000)
Ti (0.2500, 0.2500, 0.2500)

Calculated values
Calculated total energy   -36.281 eV for the cell shown
Density of states at the Fermi level   4.230 states/eV per cell

This record from the Alexandria database describes a geometry-optimized TbCeEr2Se6 structure. The functional is PBE-GGA.

Unit cell a=7.2680 b=7.2677 c=7.7205 alpha=61.92 beta=61.92 gamma=60.00
Site moments in Bohr magnetons follow the coordinates.
Sites, in units of the cell vectors:
Tb (0.3169, 0.3169, 0.0493)  0.00
Ce (0.8127, 0.8127, 0.5620)  0.96
Er (0.5145, 0.5145, 0.4564)  0.01
Er (0.0118, 0.0118, 0.9646)  0.01
Se (0.6158, 0.2288, 0.2466)  -0.01
Se (0.2288, 0.9088, 0.2466)  -0.01
Se (0.9088, 0.6158, 0.2466)  -0.01
Se (0.3932, 0.7276, 0.7477)  -0.01
Se (0.7276, 0.1315, 0.7477)  -0.01
Se (0.1315, 0.3932, 0.7477)  -0.01

Calculated values
Formation energy (no corrections)   -1.8182 eV/atom
Density of states at the Fermi level   4.966 states/eV per cell

This record from the Alexandria database describes a geometry-optimized Tb2EuSc structure. The functional is PBE-GGA.

Unit cell a=5.6216 b=5.6216 c=5.6216 alpha=60.00 beta=60.00 gamma=60.00
Site moments in Bohr magnetons follow the coordinates.
Sites, in units of the cell vectors:
Eu (0.0000, 0.0000, 0.0000)  6.85
Sc (0.5000, 0.5000, 0.5000)  0.14
Tb (0.2500, 0.2500, 0.2500)  0.16
Tb (0.7500, 0.7500, 0.7500)  0.16

Calculated values
E above lowest polymorph   0 meV per atom
Density of states at the Fermi level   7.380 states/eV per cell

This record from the Alexandria database describes a geometry-optimized TaCuAs2 structure. The functional is PBE-GGA.

Unit cell a=3.0518 b=3.0518 c=7.6314 alpha=90.00 beta=90.00 gamma=106.60
Sites, in units of the cell vectors:
As (0.0000, 0.0000, 0.0028)
As (0.0000, 0.0000, 0.4972)
Cu (0.5000, 0.5000, 0.2500)
Ta (0.5000, 0.5000, 0.7500)

Calculated values
Calculated total energy   -24.686 eV for the cell shown
Density of states at the Fermi level   2.811 states/eV per cell